(1)
VASP calculation (meta-GGA SCAN) on a crystal of HfTi2OsRu relaxed with PBEsol.

POSCAR file:
```
HfTi2OsRu
1.0
4.584 0.000 0.000
0.000 4.584 0.000
0.000 0.000 4.488
Hf Ti Os Ru
1 2 1 1
direct
0.000 0.000 0.000
0.000 0.500 0.000
0.500 0.000 0.000
0.500 0.500 0.500
0.000 0.000 0.500
```

Output
As for the space group: P4/mmm.

---

(2)
VASP calculation (meta-GGA SCAN) on a crystal of SrTl2W relaxed with PBEsol.

POSCAR file:
```
SrTl2W
1.0
7.487 0.000 0.000
0.000 7.487 0.000
0.000 0.000 7.487
Sr Tl W
4 8 4
direct
0.000 0.000 0.000
0.000 0.500 0.500
0.500 0.000 0.500
0.500 0.500 0.000
0.000 0.000 0.500
0.000 0.500 0.000
0.250 0.250 0.750
0.250 0.750 0.250
0.500 0.000 0.000
0.500 0.500 0.500
0.750 0.250 0.250
0.750 0.750 0.750
0.250 0.250 0.250
0.250 0.750 0.750
0.750 0.250 0.750
0.750 0.750 0.250
```

Output
As for the space group: F-43m. The energy relative to the lowest polymorph listed for this composition is 419 meV per atom.

---

Number 1: E_form 1.682 eV/atom. Number 2: E_form 0.997 eV/atom.